# RbNiCl, relaxed, DFT PBE
data_RbNiCl
_chemical_formula_sum 'Rb2 Ni2 Cl2'
_cell_length_a 6.301
_cell_length_b 4.205
_cell_length_c 6.453
_cell_angle_alpha 90.00
_cell_angle_beta 100.05
_cell_angle_gamma 90.00
_symmetry_space_group_name_H-M 'P 1'
_symmetry_Int_Tables_number 1
loop_
_symmetry_equiv_pos_as_xyz
'x,y,z'
loop_
_atom_site_label
_atom_site_type_symbol
_atom_site_fract_x
_atom_site_fract_y
_atom_site_fract_z
Ni1 Ni 0.383 0.500 0.970
Ni2 Ni 0.211 0.000 0.797
Rb1 Rb 0.511 0.500 0.514
Rb2 Rb 0.924 0.500 0.100
Cl1 Cl 0.463 0.000 0.061
Cl2 Cl 0.954 0.000 0.528
# Calculated density ... 3543 kg/m3
# ΔE_f (raw) ... -0.51 eV/atom
# Final energy ... -3.37 eV/atom
# SG ... Pm